[1]
DFT (PBE-GGA) results for an optimized crystal structure of KSiF2.

Calculated values
Its density of states at the Fermi level is 0.50 states/eV per cell. For the energy above the most stable polymorph in this dataset, the calculation gives 724 meV/atom. The value obtained for the energy is -3.68 eV per atom. The crystal system is cubic. Its uncorrected formation energy is -1.12 eV/atom.

Cell: 4.561 4.561 4.561 Å, 60.00 60.00 60.00°
Last column: magnetic moment on the atom in μB.
Element x y z (fractional)
K: 0.500 0.500 0.500  0.03
Si: 0.000 0.000 0.000  0.32
F: 0.250 0.250 0.250  0.02
F: 0.750 0.750 0.750  0.02

[2]
DFT (PBE-GGA) results for an optimized crystal structure of KSi3F.

Calculated values
Its density of states at the Fermi level is 4.69 states/eV per cell. For the energy above the most stable polymorph in this dataset, the calculation gives 0 meV/atom. The value obtained for the energy is -3.40 eV per atom. The crystal system is cubic. Its uncorrected formation energy is 0.44 eV/atom.

Cell: 4.691 4.691 4.691 Å, 90.00 90.00 90.00°
Element x y z (fractional)
K: 0.500 0.500 0.500
Si: 0.000 0.500 0.000
Si: 0.000 0.000 0.500
Si: 0.500 0.000 0.000
F: 0.000 0.000 0.000